The following is a PBE+U calculation of a relaxed structure of CaCo4O8, from Alexandria.

Summary:
Its energy above the most stable polymorph in this dataset is 0.130 eV/atom. The calculation puts the total DFT energy (no corrections) at -76.178 eV for the cell shown. Its space-group type is F-43m.

Cell lengths 5.8822, 5.8822, 5.8822 Å; angles 60.00, 60.00, 60.00 degrees
Sites, in units of the cell vectors:
Ca 0.0000 0.0000 0.0000
Co 0.3766 0.3766 0.3766
Co 0.3766 0.3766 0.8703
Co 0.3766 0.8703 0.3766
Co 0.8703 0.3766 0.3766
O 0.1475 0.1475 0.1475
O 0.1475 0.1475 0.5575
O 0.1475 0.5575 0.1475
O 0.1861 0.6046 0.6046
O 0.5575 0.1475 0.1475
O 0.6046 0.1861 0.6046
O 0.6046 0.6046 0.1861
O 0.6046 0.6046 0.6046